Entry 1:
Material: ZrSi2Ag
Method: DFT, PBE-GGA
State: relaxed

Computed properties:
The calculation puts the total moment at 0.00 μB per atom. The value obtained for the raw total energy is -5.814 eV per atom. The space-group type is Pmmm (47). Its crystal system is orthorhombic.

abc: 4.062 3.099 5.585
angles: 89.99 90.00 90.00
Fractional coordinates of all 4 atoms:
Si 0.000 0.750 0.470
Zr 0.500 0.250 0.250
Ag 0.500 0.750 0.750
Si 0.000 0.750 0.030


Entry 2:
Material: Li4Pd2Pt3
Method: DFT, PBE-GGA
State: relaxed

Computed properties:
The calculation puts the total moment at 0.00 μB per atom. The value obtained for the raw total energy is -4.444 eV per atom. The space-group type is C2/c (15). Its crystal system is monoclinic. As for the formation energy: -0.43 eV per atom.

abc: 5.336 7.482 7.482
angles: 58.59 89.96 89.96
Fractional coordinates of all 18 atoms:
Pd 0.501 0.170 0.512
Li 0.000 0.157 0.827
Pt 0.250 0.833 0.833
Li 0.500 0.827 0.157
Li 0.999 0.839 0.500
Pt 0.750 0.833 0.833
Li 0.500 0.173 0.843
Pt 0.750 0.500 0.500
Pt 0.750 0.167 0.167
Li 0.001 0.161 0.500
Pd 0.999 0.488 0.830
Li 0.000 0.843 0.173
Pt 0.250 0.167 0.167
Pd 0.001 0.512 0.170
Pt 0.250 0.500 0.500
Li 0.499 0.500 0.839
Li 0.501 0.500 0.161
Pd 0.499 0.830 0.488


Entry 3:
Material: Ag4MoW
Method: DFT, PBE-GGA
State: relaxed

Computed properties:
The calculation puts the total moment at 0.00 μB per atom. The value obtained for the raw total energy is -4.936 eV per atom. The space-group type is F-43m (216). Its crystal system is cubic. As for the formation energy: 0.93 eV per atom.

abc: 5.270 5.270 5.270
angles: 60.00 60.00 60.00
Fractional coordinates of all 6 atoms:
Mo 0.750 0.750 0.750
W 0.000 0.000 0.000
Ag 0.375 0.375 0.375
Ag 0.375 0.875 0.375
Ag 0.875 0.375 0.375
Ag 0.375 0.375 0.875


Entry 4:
Material: ScRh2Cl
Method: DFT, PBE-GGA
State: relaxed

Computed properties:
The calculation puts the total moment at 0.40 μB per atom. The value obtained for the raw total energy is -6.038 eV per atom. The relative energy among the computed polymorphs is 0.184 eV/atom. The space-group type is R3m (160). Its crystal system is trigonal.

abc: 8.790 8.790 8.790
angles: 20.58 20.58 20.58
Fractional coordinates of all 4 atoms:
Sc 0.503 0.503 0.503
Rh 0.988 0.988 0.988
Rh 0.243 0.243 0.243
Cl 0.766 0.766 0.766


Entry 5:
Material: Ho3Sc2Ru2
Method: DFT, PBE-GGA
State: relaxed

Computed properties:
The calculation puts the total moment at 0.00 μB per atom. The value obtained for the raw total energy is -6.766 eV per atom. The space-group type is C2/m (12). Its crystal system is monoclinic. As for the formation energy: -0.34 eV per atom.

abc: 3.741 6.119 8.224
angles: 111.97 90.00 107.80
Fractional coordinates of all 7 atoms:
Ru 0.187 0.373 0.218
Ho 0.381 0.763 0.566
Sc 0.829 0.659 0.177
Ho 0.500 0.000 0.000
Sc 0.171 0.341 0.823
Ho 0.619 0.237 0.434
Ru 0.813 0.627 0.782


Entry 6:
Material: NaSr2LiPt
Method: DFT, PBE-GGA
State: relaxed

Computed properties:
The calculation puts the total moment at 0.00 μB per atom. The value obtained for the raw total energy is -2.855 eV per atom. The relative energy among the computed polymorphs is 0.000 eV/atom. The space-group type is P4/mmm (123). Its crystal system is tetragonal. As for the formation energy: -0.33 eV per atom.

abc: 5.943 5.943 5.077
angles: 90.00 90.00 90.00
Fractional coordinates of all 5 atoms:
Pt 0.000 0.000 0.000
Li 0.000 0.000 0.500
Sr 0.000 0.500 0.000
Sr 0.500 0.000 0.000
Na 0.500 0.500 0.500